Ba8HPb2: relaxed, PBE.

Values from the calculation:
* space-group type: C2/m, No. 12
* VASP energy: -28.91 eV per formula unit

Lattice parameters (Å, degrees): 5.326 8.758 11.793 89.95 103.06 89.99
Positions (direct):
1 Pb 0.826 0.243 0.653
2 Pb 0.174 0.757 0.347
3 Ba 0.224 0.245 0.449
4 Ba 0.617 0.516 0.234
5 Ba 0.613 0.990 0.226
6 Ba 0.996 0.243 0.992
7 Ba 0.004 0.757 0.008
8 Ba 0.383 0.484 0.766
9 Ba 0.776 0.755 0.551
10 Ba 0.387 0.010 0.774
11 H 0.500 0.000 0.000

=====

OsWBr2: relaxed, PBE.

Values from the calculation:
* space-group type: C2/m, No. 12
* raw formation energy: 5.6 eV per formula unit
* VASP energy: -21.94 eV per formula unit

Lattice parameters (Å, degrees): 4.066 5.287 4.133 67.70 88.30 111.90
Positions (direct):
1 Br 0.500 0.000 0.500
2 Br 0.000 0.000 0.000
3 W 0.500 0.500 0.000
4 Os 0.000 0.500 0.500

=====

TlSnSBr2: relaxed, PBE.

Values from the calculation:
* space-group type: P4/mmm, No. 123
* raw formation energy: -2.5 eV per formula unit
* VASP energy: -16.30 eV per formula unit

Lattice parameters (Å, degrees): 5.771 5.771 4.983 90.00 90.00 90.00
Positions (direct):
1 Tl 0.500 0.500 0.500
2 Br 0.000 0.500 0.000
3 Br 0.500 0.000 0.000
4 Sn 0.000 0.000 0.000
5 S 0.000 0.000 0.500